# 1
{
  "formula": "KAg2Rh",
  "functional": "PBE-GGA",
  "state": "relaxed",
  "lattice": [[0.495, 0.011, 4.862], [-3.869, -0.887, 2.852], [-0.287, -4.193, 2.495]],
  "species": ["K", "Rh", "Ag", "Ag"],
  "frac_coords": [[0.000, 0.000, 0.000], [0.500, 0.500, 0.500], [0.250, 0.250, 0.250], [0.750, 0.750, 0.750]],
  "de_polymorph_kj_per_mol_fu": 86.6,
  "ef_ev_per_fu": 2.2,
  "final_energy_ev_per_atom": -2.985
}

=====

# 2
{
  "formula": "TaBePb2",
  "functional": "PBE-GGA",
  "state": "relaxed",
  "lattice": [[-3.869, 7.771, 1.679], [-5.727, 5.730, 3.540], [-2.849, 6.907, 4.728]],
  "species": ["Pb", "Pb", "Be", "Ta"],
  "frac_coords": [[0.009, 0.009, 0.009], [0.491, 0.491, 0.491], [0.750, 0.750, 0.750], [0.250, 0.250, 0.250]],
  "ef_ev_per_fu": 2.8,
  "final_energy_ev_per_atom": -5.046
}

=====

# 3
{
  "formula": "ZrNi2Se",
  "functional": "PBE-GGA",
  "state": "relaxed",
  "lattice": [[-0.694, 3.317, 0.615], [-0.980, 0.402, -3.275], [-4.955, -1.283, 1.325]],
  "species": ["Ni", "Ni", "Se", "Zr"],
  "frac_coords": [[0.000, 0.000, 0.993], [0.000, 0.000, 0.507], [0.500, 0.500, 0.250], [0.500, 0.500, 0.750]],
  "final_energy_ev_per_atom": -6.317,
  "e_form_raw_ev_per_fu": -1.674
}

=====

# 4
{
  "formula": "Dy6Sb3TeAs2",
  "functional": "PBE-GGA",
  "state": "relaxed",
  "lattice": [[4.282, 0.000, 0.000], [0.000, 8.608, 0.313], [-2.141, -2.472, 9.014]],
  "species": ["Dy", "Dy", "Dy", "Dy", "Dy", "Dy", "Sb", "Sb", "Sb", "Te", "As", "As"],
  "frac_coords": [[0.328, 0.901, 0.657], [0.671, 0.574, 0.342], [0.672, 0.099, 0.343], [0.007, 0.260, 0.015], [0.993, 0.740, 0.985], [0.329, 0.426, 0.658], [0.500, 0.500, 0.000], [0.838, 0.167, 0.675], [0.162, 0.833, 0.325], [0.500, 0.000, 0.000], [0.832, 0.666, 0.664], [0.168, 0.334, 0.336]],
  "final_energy_ev_per_atom": -5.677,
  "e_form_raw_ev_per_fu": -15.709
}

=====

# 5
{
  "formula": "HfPt",
  "functional": "PBE-GGA",
  "state": "relaxed",
  "lattice": [[-3.215, 0.675, -0.825], [-1.339, -3.101, 2.682], [1.343, 3.102, 4.257]],
  "species": ["Hf", "Hf", "Pt", "Pt"],
  "frac_coords": [[0.643, 0.250, 0.285], [0.357, 0.750, 0.715], [0.907, 0.250, 0.815], [0.093, 0.750, 0.185]],
  "ef_ev_per_fu": -2.3,
  "final_energy_ev_per_atom": -9.158
}

=====

# 6
{
  "formula": "MgFeS2",
  "functional": "PBE-GGA",
  "state": "relaxed",
  "lattice": [[-3.372, -2.316, -3.743], [-1.980, -3.413, 3.896], [-6.603, 0.838, 1.324]],
  "species": ["Mg", "Mg", "S", "S", "S", "S", "Fe", "Fe"],
  "frac_coords": [[0.500, 0.500, 0.000], [0.250, 0.750, 0.500], [0.644, 0.125, 0.250], [0.106, 0.625, 0.250], [0.375, 0.356, 0.750], [0.875, 0.894, 0.750], [0.000, 0.000, 0.000], [0.750, 0.250, 0.500]],
  "final_energy_ev_per_atom": -5.303,
  "e_form_raw_ev_per_fu": -2.899
}

=====

# 7
{
  "formula": "Cs3Y3HfSe8",
  "functional": "PBE-GGA",
  "state": "relaxed",
  "lattice": [[8.290, 0.000, 0.000], [-4.145, 7.179, -0.031], [0.000, -4.754, 8.566]],
  "species": ["Cs", "Cs", "Cs", "Y", "Y", "Y", "Hf", "Se", "Se", "Se", "Se", "Se", "Se", "Se", "Se"],
  "frac_coords": [[0.000, 0.000, 0.000], [0.000, 0.500, 0.000], [0.500, 0.500, 0.000], [0.500, 0.000, 0.500], [0.500, 0.500, 0.500], [0.000, 0.500, 0.500], [0.000, 0.000, 0.500], [0.271, 0.543, 0.314], [0.729, 0.457, 0.686], [0.783, 0.565, 0.321], [0.217, 0.435, 0.679], [0.783, 0.038, 0.321], [0.217, 0.962, 0.679], [0.255, 0.038, 0.321], [0.745, 0.962, 0.679]],
  "final_energy_ev_per_atom": -5.660,
  "e_form_raw_ev_per_fu": -25.113
}

=====

# 8
{
  "formula": "CoRh",
  "functional": "PBE-GGA",
  "state": "relaxed",
  "lattice": [[4.591, 0.000, 0.000], [0.000, 4.232, 0.000], [0.000, 0.000, 5.269]],
  "species": ["Co", "Co", "Co", "Co", "Rh", "Rh", "Rh", "Rh"],
  "frac_coords": [[0.079, 0.250, 0.125], [0.421, 0.750, 0.625], [0.579, 0.250, 0.375], [0.921, 0.750, 0.875], [0.092, 0.250, 0.626], [0.408, 0.750, 0.126], [0.592, 0.250, 0.874], [0.908, 0.750, 0.374]],
  "ef_ev_per_fu": 0.1,
  "final_energy_ev_per_atom": -7.173
}

=====

# 9
{
  "formula": "FeHg",
  "functional": "PBE-GGA",
  "state": "relaxed",
  "lattice": [[-0.005, -0.941, -7.830], [-4.043, -4.993, 4.574], [-3.297, 2.407, -0.287]],
  "species": ["Fe", "Fe", "Fe", "Fe", "Fe", "Fe", "Hg", "Hg", "Hg", "Hg", "Hg", "Hg"],
  "frac_coords": [[0.440, 0.880, 0.250], [0.560, 0.440, 0.750], [0.120, 0.560, 0.250], [0.560, 0.120, 0.750], [0.440, 0.560, 0.250], [0.880, 0.440, 0.750], [0.821, 0.643, 0.250], [0.179, 0.821, 0.750], [0.357, 0.179, 0.250], [0.179, 0.357, 0.750], [0.821, 0.179, 0.250], [0.643, 0.821, 0.750]],
  "ef_ev_per_fu": 0.8,
  "final_energy_ev_per_atom": -3.965
}

=====

# 10
{
  "formula": "Na2Al2As3",
  "functional": "PBE-GGA",
  "state": "relaxed",
  "lattice": [[-3.630, 5.036, -2.721], [-10.226, -3.185, 7.745], [5.004, 9.125, 10.215]],
  "species": ["Na", "Na", "Na", "Na", "Na", "Na", "Na", "Na", "Na", "Na", "Na", "Na", "Na", "Na", "Na", "Na", "Al", "Al", "Al", "Al", "Al", "Al", "Al", "Al", "Al", "Al", "Al", "Al", "Al", "Al", "Al", "Al", "As", "As", "As", "As", "As", "As", "As", "As", "As", "As", "As", "As", "As", "As", "As", "As", "As", "As", "As", "As", "As", "As", "As", "As"],
  "frac_coords": [[0.946, 0.139, 0.009], [0.446, 0.861, 0.491], [0.054, 0.861, 0.991], [0.554, 0.139, 0.509], [0.589, 0.649, 0.981], [0.089, 0.351, 0.519], [0.411, 0.351, 0.019], [0.911, 0.649, 0.481], [0.548, 0.914, 0.893], [0.048, 0.086, 0.607], [0.452, 0.086, 0.107], [0.952, 0.914, 0.393], [0.901, 0.434, 0.085], [0.401, 0.566, 0.415], [0.099, 0.566, 0.915], [0.599, 0.434, 0.585], [0.288, 0.684, 0.165], [0.788, 0.316, 0.335], [0.712, 0.316, 0.835], [0.212, 0.684, 0.665], [0.797, 0.094, 0.270], [0.297, 0.906, 0.230], [0.203, 0.906, 0.730], [0.703, 0.094, 0.770], [0.763, 0.811, 0.173], [0.263, 0.189, 0.327], [0.237, 0.189, 0.827], [0.737, 0.811, 0.673], [0.764, 0.589, 0.240], [0.264, 0.411, 0.260], [0.236, 0.411, 0.760], [0.736, 0.589, 0.740], [0.971, 0.966, 0.173], [0.471, 0.034, 0.327], [0.029, 0.034, 0.827], [0.529, 0.966, 0.673], [0.454, 0.838, 0.086], [0.954, 0.162, 0.414], [0.546, 0.162, 0.914], [0.046, 0.838, 0.586], [0.951, 0.661, 0.105], [0.451, 0.339, 0.395], [0.049, 0.339, 0.895], [0.549, 0.661, 0.605], [0.837, 0.747, 0.830], [0.337, 0.253, 0.670], [0.163, 0.253, 0.170], [0.663, 0.747, 0.330], [0.470, 0.520, 0.157], [0.970, 0.480, 0.343], [0.530, 0.480, 0.843], [0.030, 0.520, 0.657], [0.211, 0.750, 0.826], [0.711, 0.250, 0.674], [0.789, 0.250, 0.174], [0.289, 0.750, 0.326]],
  "de_polymorph_kj_per_mol_fu": 0.0,
  "ef_ev_per_fu": -3.5,
  "final_energy_ev_per_atom": -3.940
}

=====

# 11
{
  "formula": "BiPd4Pt2",
  "functional": "PBE-GGA",
  "state": "relaxed",
  "lattice": [[-2.143, -0.539, 4.328], [2.995, -2.993, -2.401], [6.485, -1.042, 4.064]],
  "species": ["Bi", "Pd", "Pd", "Pd", "Pd", "Pt", "Pt"],
  "frac_coords": [[0.000, 0.000, 0.500], [0.869, 0.723, 0.204], [0.131, 0.277, 0.796], [0.565, 0.139, 0.648], [0.435, 0.861, 0.352], [0.707, 0.419, 0.937], [0.293, 0.581, 0.063]],
  "de_polymorph_kj_per_mol_fu": 0.0,
  "ef_ev_per_fu": -1.0,
  "final_energy_ev_per_atom": -5.388
}

=====

# 12
{
  "formula": "Pa4Co12B3Rh",
  "functional": "PBE-GGA",
  "state": "relaxed",
  "lattice": [[-0.998, -6.499, 2.555], [5.171, -0.127, -4.796], [1.780, 4.348, 5.262]],
  "species": ["Pa", "Pa", "Pa", "Pa", "Co", "Co", "Co", "Co", "Co", "Co", "Co", "Co", "Co", "Co", "Co", "Co", "B", "B", "B", "Rh"],
  "frac_coords": [[0.500, 0.500, 0.500], [0.000, 0.000, 0.500], [0.500, 0.000, 0.000], [0.000, 0.500, 0.000], [0.250, 0.500, 0.750], [0.720, 0.000, 0.720], [0.280, 0.000, 0.280], [0.750, 0.500, 0.250], [0.720, 0.720, 0.000], [0.280, 0.280, 0.000], [0.750, 0.250, 0.500], [0.250, 0.750, 0.500], [0.500, 0.250, 0.750], [0.000, 0.720, 0.720], [0.500, 0.750, 0.250], [0.000, 0.280, 0.280], [0.500, 0.000, 0.500], [0.500, 0.500, 0.000], [0.000, 0.500, 0.500], [0.000, 0.000, 0.000]],
  "ef_ev_per_fu": -3.5,
  "final_energy_ev_per_atom": -7.706
}